Computed, not measured: a geometry-optimized Y2NiIr3 structure at the PBE level of DFT.

a = 5.3926 Å, b = 5.3926 Å, c = 12.5146 Å
α = 90.00°, β = 90.00°, γ = 120.00°
Space group R-3m (No. 166, hexagonal axes)
Unique sites:
Y (0.0000, 0.0000, 0.1258) x6
Ni (0.0000, 0.0000, 0.5000) x3
Ir (0.0000, 0.5000, 0.0000) x9

Results
ΔE_f = -4.4 eV/f.u.
VASP energy = -149.094 eV per cell